First-principles (PBE+U) data for a relaxed NdNi2B2O6 crystal, as listed in Alexandria via LeMat-Bulk.

Calculated values
- Total energy: -74.48 eV per cell
- Crystal system: trigonal

Cell and atoms, written as CIF:
```
data_NdNi2B2O6
_chemical_formula_sum 'Nd1 Ni2 B2 O6'
_cell_length_a 5.1403
_cell_length_b 5.1403
_cell_length_c 6.1047
_cell_angle_alpha 90.00
_cell_angle_beta 90.00
_cell_angle_gamma 120.00
_symmetry_space_group_name_H-M 'P -3'
_symmetry_Int_Tables_number 147
_symmetry_space_group_name_Hall '-P 3'
loop_
_atom_site_label
_atom_site_fract_x
_atom_site_fract_y
_atom_site_fract_z
_atom_site_occupancy
Nd1 0.0000 0.0000 0.0000 1
Ni1 0.3333 0.6667 0.3288 1
B1 0.3333 0.6667 0.7593 1
O1 0.0621 0.6638 0.7627 1
```